(1)
VASP calculation (PBE) on crystalline V2ZnPb at its relaxed geometry.

a = 7.211 Å, b = 7.211 Å, c = 5.789 Å
α = 51.48°, β = 51.48°, γ = 90.00°
Fractional positions:
Zn 0.250 0.750 0.500
Zn 0.500 0.500 0.000
V 0.142 0.625 0.250
V 0.875 0.858 0.750
V 0.608 0.125 0.250
V 0.375 0.392 0.750
Pb 0.750 0.250 0.500
Pb 0.000 0.000 0.000

Values from the calculation:
The value obtained for the density of states at the Fermi level is 2.99 states/eV/f.u.



(2)
VASP calculation (PBE) on crystalline VZn3Pb at its relaxed geometry.

a = 4.923 Å, b = 4.923 Å, c = 4.923 Å
α = 90.00°, β = 90.00°, γ = 90.00°
Fractional positions:
Zn 0.000 0.500 0.000
Zn 0.000 0.000 0.500
Zn 0.500 0.000 0.000
Pb 0.500 0.500 0.500
V 0.000 0.000 0.000

Values from the calculation:
The value obtained for the density of states at the Fermi level is 5.55 states/eV/f.u.



(3)
VASP calculation (PBE) on crystalline VZnPb2 at its relaxed geometry.

a = 7.873 Å, b = 7.873 Å, c = 6.391 Å
α = 51.98°, β = 51.98°, γ = 90.00°
Fractional positions:
V 0.500 0.500 0.000
V 0.250 0.750 0.500
Pb 0.116 0.625 0.250
Pb 0.875 0.884 0.750
Pb 0.634 0.125 0.250
Pb 0.375 0.366 0.750
Zn 0.750 0.250 0.500
Zn 0.000 0.000 0.000

Values from the calculation:
The value obtained for the density of states at the Fermi level is 4.76 states/eV/f.u.



(4)
VASP calculation (PBE) on crystalline Zr2VPb at its relaxed geometry.

a = 3.576 Å, b = 3.576 Å, c = 6.546 Å
α = 90.00°, β = 90.00°, γ = 90.00°
Fractional positions:
Zr 0.000 0.000 0.772
Zr 0.000 0.000 0.228
Pb 0.500 0.500 0.500
V 0.500 0.500 0.000

Values from the calculation:
The value obtained for the density of states at the Fermi level is 4.77 states/eV/f.u.



(5)
VASP calculation (PBE) on crystalline Zr2VPb at its relaxed geometry.

a = 3.284 Å, b = 3.284 Å, c = 9.631 Å
α = 80.18°, β = 80.18°, γ = 60.00°
Fractional positions:
Pb 0.500 0.500 0.500
Zr 0.741 0.741 0.777
Zr 0.259 0.259 0.223
V 0.000 0.000 0.000

Values from the calculation:
The value obtained for the density of states at the Fermi level is 3.45 states/eV/f.u.



(6)
VASP calculation (PBE) on crystalline ZrV3Pb at its relaxed geometry.

a = 4.892 Å, b = 4.892 Å, c = 4.892 Å
α = 90.00°, β = 90.00°, γ = 90.00°
Fractional positions:
V 0.000 0.500 0.000
V 0.500 0.000 0.000
V 0.000 0.000 0.500
Pb 0.000 0.000 0.000
Zr 0.500 0.500 0.500

Values from the calculation:
The value obtained for the density of states at the Fermi level is 9.32 states/eV/f.u.



(7)
VASP calculation (PBE) on crystalline ZrV4Pb at its relaxed geometry.

a = 5.215 Å, b = 5.215 Å, c = 5.215 Å
α = 60.00°, β = 60.00°, γ = 60.00°
Fractional positions:
V 0.621 0.621 0.136
V 0.621 0.621 0.621
V 0.136 0.621 0.621
V 0.621 0.136 0.621
Pb 0.000 0.000 0.000
Zr 0.250 0.250 0.250

Values from the calculation:
The value obtained for the density of states at the Fermi level is 7.07 states/eV/f.u.



(8)
VASP calculation (PBE) on crystalline Zr2VPb at its relaxed geometry.

a = 7.787 Å, b = 7.787 Å, c = 6.242 Å
α = 51.41°, β = 51.41°, γ = 90.00°
Fractional positions:
V 0.250 0.750 0.500
V 0.500 0.500 0.000
Zr 0.875 0.846 0.750
Zr 0.154 0.625 0.250
Zr 0.596 0.125 0.250
Zr 0.375 0.404 0.750
Pb 0.750 0.250 0.500
Pb 0.000 0.000 0.000

Values from the calculation:
The value obtained for the density of states at the Fermi level is 4.29 states/eV/f.u.



(9)
VASP calculation (PBE) on crystalline ZrV3Pb at its relaxed geometry.

a = 4.719 Å, b = 4.719 Å, c = 4.719 Å
α = 90.00°, β = 90.00°, γ = 90.00°
Fractional positions:
Zr 0.000 0.000 0.000
Pb 0.500 0.500 0.500
V 0.000 0.000 0.500
V 0.500 0.000 0.000
V 0.000 0.500 0.000

Values from the calculation:
The value obtained for the density of states at the Fermi level is 7.50 states/eV/f.u.



(10)
VASP calculation (PBE) on crystalline Zr3VPb at its relaxed geometry.

a = 4.922 Å, b = 4.922 Å, c = 4.922 Å
α = 90.00°, β = 90.00°, γ = 90.00°
Fractional positions:
Zr 0.000 0.500 0.000
Zr 0.500 0.000 0.000
Zr 0.000 0.000 0.500
Pb 0.500 0.500 0.500
V 0.000 0.000 0.000

Values from the calculation:
The value obtained for the density of states at the Fermi level is 7.28 states/eV/f.u.



(11)
VASP calculation (PBE) on crystalline ZrVPb2 at its relaxed geometry.

a = 7.853 Å, b = 7.853 Å, c = 6.363 Å
α = 51.90°, β = 51.90°, γ = 90.00°
Fractional positions:
V 0.250 0.750 0.500
V 0.500 0.500 0.000
Pb 0.147 0.625 0.250
Pb 0.603 0.125 0.250
Pb 0.375 0.397 0.750
Pb 0.875 0.853 0.750
Zr 0.750 0.250 0.500
Zr 0.000 0.000 0.000

Values from the calculation:
The value obtained for the density of states at the Fermi level is 5.13 states/eV/f.u.



(12)
VASP calculation (PBE) on crystalline ZrVPb at its relaxed geometry.

a = 5.473 Å, b = 5.642 Å, c = 9.864 Å
α = 82.27°, β = 73.89°, γ = 60.98°
Fractional positions:
Zr 0.908 0.183 0.500
Zr 0.592 0.817 0.500
Zr 0.842 0.317 0.000
Zr 0.158 0.683 0.000
Pb 0.416 0.000 0.167
Pb 0.166 0.500 0.667
Pb 0.584 0.000 0.833
Pb 0.334 0.500 0.333
V 0.873 0.000 0.253
V 0.127 0.000 0.747
V 0.623 0.500 0.753
V 0.877 0.500 0.247

Values from the calculation:
The value obtained for the density of states at the Fermi level is 4.39 states/eV/f.u.



(13)
VASP calculation (PBE) on crystalline Zr3VPb at its relaxed geometry.

a = 5.359 Å, b = 5.359 Å, c = 5.359 Å
α = 90.00°, β = 90.00°, γ = 90.00°
Fractional positions:
Pb 0.000 0.000 0.000
Zr 0.000 0.500 0.000
Zr 0.000 0.000 0.500
Zr 0.500 0.000 0.000
V 0.500 0.500 0.500

Values from the calculation:
The value obtained for the density of states at the Fermi level is 9.18 states/eV/f.u.



(14)
VASP calculation (PBE) on crystalline ZrVPb2 at its relaxed geometry.

a = 5.035 Å, b = 5.035 Å, c = 5.035 Å
α = 60.00°, β = 60.00°, γ = 60.00°
Fractional positions:
Pb 0.750 0.750 0.750
Pb 0.250 0.250 0.250
V 0.000 0.000 0.000
Zr 0.500 0.500 0.500

Values from the calculation:
The value obtained for the density of states at the Fermi level is 4.99 states/eV/f.u.



(15)
VASP calculation (PBE) on crystalline PbW2 at its relaxed geometry.

a = 3.209 Å, b = 3.209 Å, c = 7.071 Å
α = 90.00°, β = 90.00°, γ = 120.00°
Fractional positions:
Pb 0.000 0.000 0.000
W 0.667 0.333 0.380
W 0.333 0.667 0.620

Values from the calculation:
The value obtained for the density of states at the Fermi level is 1.63 states/eV/f.u.



(16)
VASP calculation (PBE) on crystalline PbW2 at its relaxed geometry.

a = 4.803 Å, b = 4.803 Å, c = 5.557 Å
α = 90.00°, β = 90.00°, γ = 120.00°
Fractional positions:
Pb 0.667 0.333 0.250
Pb 0.333 0.667 0.750
W 0.000 0.000 0.500
W 0.000 0.000 0.000
W 0.667 0.333 0.750
W 0.333 0.667 0.250

Values from the calculation:
The value obtained for the density of states at the Fermi level is 2.79 states/eV/f.u.



(17)
VASP calculation (PBE) on crystalline Pb8W at its relaxed geometry.

a = 7.838 Å, b = 7.838 Å, c = 7.838 Å
α = 95.02°, β = 95.02°, γ = 145.58°
Fractional positions:
W 0.000 0.000 0.000
Pb 0.348 0.348 0.696
Pb 0.000 0.686 0.686
Pb 0.686 0.000 0.686
Pb 0.000 0.314 0.314
Pb 0.652 0.348 0.000
Pb 0.652 0.652 0.304
Pb 0.314 0.000 0.314
Pb 0.348 0.652 0.000

Values from the calculation:
The value obtained for the density of states at the Fermi level is 3.98 states/eV/f.u.



(18)
VASP calculation (PBE) on crystalline PbW2 at its relaxed geometry.

a = 9.820 Å, b = 9.820 Å, c = 4.365 Å
α = 90.00°, β = 90.00°, γ = 161.43°
Fractional positions:
W 0.444 0.556 0.750
W 0.060 0.940 0.750
W 0.940 0.060 0.250
W 0.556 0.444 0.250
Pb 0.189 0.811 0.250
Pb 0.811 0.189 0.750

Values from the calculation:
The value obtained for the density of states at the Fermi level is 2.61 states/eV/f.u.



(19)
VASP calculation (PBE) on crystalline PbW2 at its relaxed geometry.

a = 6.540 Å, b = 6.540 Å, c = 6.540 Å
α = 90.00°, β = 90.00°, γ = 90.00°
Fractional positions:
W 0.397 0.397 0.603
W 0.603 0.603 0.397
W 0.603 0.897 0.897
W 0.103 0.897 0.603
W 0.897 0.103 0.397
W 0.103 0.603 0.103
W 0.397 0.103 0.103
W 0.897 0.397 0.897
Pb 0.000 0.000 0.000
Pb 0.500 0.500 0.000
Pb 0.500 0.000 0.500
Pb 0.000 0.500 0.500

Values from the calculation:
The value obtained for the density of states at the Fermi level is 3.16 states/eV/f.u.



(20)
VASP calculation (PBE) on crystalline PbW2 at its relaxed geometry.

a = 7.633 Å, b = 7.633 Å, c = 4.336 Å
α = 90.00°, β = 90.00°, γ = 148.44°
Fractional positions:
W 0.645 0.355 0.250
W 0.748 0.252 0.750
W 0.252 0.748 0.250
W 0.355 0.645 0.750
Pb 0.916 0.084 0.250
Pb 0.084 0.916 0.750

Values from the calculation:
The value obtained for the density of states at the Fermi level is 1.69 states/eV/f.u.



| no. | energy relative to the elements (eV per atom) |
| --- | --- |
| 1 | 0.694 |
| 2 | 0.679 |
| 3 | 0.613 |
| 4 | 0.005 |
| 5 | 0.171 |
| 6 | 1.740 |
| 7 | 0.138 |
| 8 | 0.482 |
| 9 | 1.489 |
| 10 | 0.471 |
| 11 | 0.434 |
| 12 | 0.365 |
| 13 | 1.455 |
| 14 | 0.326 |
| 15 | 0.747 |
| 16 | 1.259 |
| 17 | 0.395 |
| 18 | 0.574 |
| 19 | 2.030 |
| 20 | 0.716 |